HfOsPt2 after structural relaxation. Source: Alexandria, functional PBE.

The structure in CIF format:
```
data_HfOsPt2
_symmetry_space_group_name_H-M 'F m -3 m'
_symmetry_Int_Tables_number 225
_symmetry_space_group_name_Hall '-F 4 2 3'
_cell_length_a 6.446
_cell_length_b 6.446
_cell_length_c 6.446
_cell_angle_alpha 90.00
_cell_angle_beta 90.00
_cell_angle_gamma 90.00
loop_
_atom_site_label
_atom_site_type_symbol
_atom_site_fract_x
_atom_site_fract_y
_atom_site_fract_z
Hf1 Hf 0.000 0.000 0.000
Os1 Os 0.000 0.000 0.500
Pt1 Pt 0.250 0.250 0.250
```

Calculated values
uncorrected energy	-8.545	eV per atom
Fermi-level density of states	22.47	states/eV/cell